! Na4LiP2, optimized geometry, DFT GGA-PBE; values from VASP
&SYSTEM
  ibrav = 0, nat = 7, ntyp = 3
/
ATOMIC_SPECIES
Na 22.99 Na.upf
Li 6.94 Li.upf
P 30.97 P.upf
ATOMIC_POSITIONS crystal
Na 0.1008 0.1008 0.1008
Na 0.2983 0.2983 0.2983
Na 0.7017 0.7017 0.7017
Na 0.8992 0.8992 0.8992
Li 0.5000 0.5000 0.5000
P 0.4099 0.4099 0.4099
P 0.5901 0.5901 0.5901
CELL_PARAMETERS angstrom
2.4383 1.4078 8.8086
-2.4383 1.4078 8.8086
0.0000 -2.8155 8.8086
! total DFT energy (no corrections) = -2.82 eV per atom
! magnetization = 1.0 μB per formula unit
! energy relative to the elements = -0.251 eV/atom
! DOS(E_F) = 4.92 states/eV/cell